[1]
# U4Fe

A relaxed structure of U4Fe (PBE-GGA, Alexandria).

Space group: Fd-3m
ΔH_f (0 K) in eV/atom: 0.6951
Calculated volume in Å³ per cell: 219.7
Fermi-level density of states in states/eV per atom: 3.036
Final energy in eV/atom: -10.028
Magnetization in μB per atom: 1.31
Energy above the lowest structure with this stoichiometry in meV per atom: 0.0

abc: 6.7733 6.7733 6.7733
angles: 60.00 60.00 60.00
With the nearest neighbours (Å) after each atom.
Atoms (fractional coordinates):
U (0.1859, 0.7714, 0.7714)  1 Fe 2.43
U (0.2286, 0.2286, 0.2286)  1 Fe 2.43
U (0.2286, 0.2286, 0.8141)  1 Fe 2.43
U (0.2286, 0.8141, 0.2286)  1 Fe 2.43
U (0.7714, 0.1859, 0.7714)  1 Fe 2.43
U (0.7714, 0.7714, 0.1859)  1 Fe 2.43
U (0.7714, 0.7714, 0.7714)  1 Fe 2.43
U (0.8141, 0.2286, 0.2286)  1 Fe 2.43
Fe (0.3750, 0.3750, 0.3750)  4 U 2.43
Fe (0.6250, 0.6250, 0.6250)  4 U 2.43

[2]
# Pr3Ni3Sn

A relaxed structure of Pr3Ni3Sn (PBE-GGA, Alexandria).

Space group: Cmcm
ΔH_f (0 K) in eV/atom: -0.4403
Calculated volume in Å³ per cell: 310.6
Fermi-level density of states in states/eV per atom: 0.630
Final energy in eV/atom: -5.538
Magnetization in μB per atom: 0.00
Energy above the lowest structure with this stoichiometry in meV per atom: 0.0

abc: 5.5939 5.5939 14.1399
angles: 90.00 90.00 135.41
With the nearest neighbours (Å) after each atom.
Atoms (fractional coordinates):
Pr (0.0102, 0.9898, 0.7500)  7 Ni 3.00-3.09
Pr (0.2933, 0.7067, 0.6036)  6 Ni 2.99-3.16
Pr (0.2933, 0.7067, 0.8964)  6 Ni 2.99-3.16
Pr (0.7067, 0.2933, 0.1036)  6 Ni 2.99-3.16
Pr (0.7067, 0.2933, 0.3964)  6 Ni 2.99-3.16
Pr (0.9898, 0.0102, 0.2500)  7 Ni 3.00-3.09
Ni (0.2848, 0.7152, 0.2500)  2 Ni 2.46
Ni (0.4104, 0.5896, 0.1026)  1 Ni 2.46, 2 Sn 2.73
Ni (0.4104, 0.5896, 0.3974)  1 Ni 2.46, 2 Sn 2.73
Ni (0.5896, 0.4104, 0.6026)  1 Ni 2.46, 2 Sn 2.73
Ni (0.5896, 0.4104, 0.8974)  1 Ni 2.46, 2 Sn 2.73
Ni (0.7152, 0.2848, 0.7500)  2 Ni 2.46
Sn (0.0000, 0.0000, 0.0000)  4 Ni 2.73
Sn (0.0000, 0.0000, 0.5000)  4 Ni 2.73

[3]
# Ca2TlReSb

A relaxed structure of Ca2TlReSb (PBE-GGA, Alexandria).

Space group: P4/mmm
Calculated volume in Å³ per cell: 161.9
Fermi-level density of states in states/eV per atom: 0.795
Final energy in eV/atom: -4.013
Magnetization in μB per atom: 0.51
Formation energy without anion corrections in eV per atom: 0.58

abc: 5.5322 5.5322 5.2908
angles: 90.00 90.00 90.00
With the nearest neighbours (Å) after each atom.
Atoms (fractional coordinates):
Ca (0.0000, 0.5000, 0.0000)  2 Re 2.77
Ca (0.5000, 0.0000, 0.0000)  2 Re 2.77
Tl (0.0000, 0.0000, 0.5000)  2 Re 2.65
Re (0.0000, 0.0000, 0.0000)  2 Tl 2.65, 4 Ca 2.77
Sb (0.5000, 0.5000, 0.5000)  8 Ca 3.83, 4 Tl 3.91

[4]
# Pr2Y6ErSc3

A relaxed structure of Pr2Y6ErSc3 (PBE-GGA, Alexandria).

Space group: C2/m
ΔH_f (0 K) in eV/atom: 0.0524
Calculated volume in Å³ per cell: 369.0
Fermi-level density of states in states/eV per atom: 1.563
Final energy in eV/atom: -5.939
Magnetization in μB per atom: 0.00

abc: 6.1134 6.1134 11.5814
angles: 95.05 95.05 120.00
With the nearest neighbours (Å) after each atom.
Atoms (fractional coordinates):
Pr (0.1668, 0.8332, 0.0000)  3 Pr 3.53, 3 Er 3.53, 6 Y 3.61
Pr (0.8332, 0.1668, 0.0000)  3 Pr 3.53, 3 Er 3.53, 6 Y 3.61
Y (0.0805, 0.4129, 0.7384)  3 Sc 3.39-3.40, 6 Y 3.52-3.54, 1 Er 3.61, 2 Pr 3.61
Y (0.2548, 0.2548, 0.2615)  3 Sc 3.39-3.40, 6 Y 3.52-3.54, 1 Er 3.61, 2 Pr 3.61
Y (0.4129, 0.0805, 0.7384)  3 Sc 3.39-3.40, 6 Y 3.52-3.54, 1 Er 3.61, 2 Pr 3.61
Y (0.5871, 0.9195, 0.2616)  3 Sc 3.39-3.40, 6 Y 3.52-3.54, 1 Er 3.61, 2 Pr 3.61
Y (0.7452, 0.7452, 0.7385)  3 Sc 3.39-3.40, 6 Y 3.52-3.54, 1 Er 3.61, 2 Pr 3.61
Y (0.9195, 0.5871, 0.2616)  3 Sc 3.39-3.40, 6 Y 3.52-3.54, 1 Er 3.61, 2 Pr 3.61
Er (0.5000, 0.5000, 0.0000)  6 Pr 3.53, 6 Y 3.61
Sc (0.0000, 0.0000, 0.5000)  6 Y 3.40, 6 Sc 3.53-3.54
Sc (0.3340, 0.6660, 0.5000)  6 Y 3.39-3.40, 6 Sc 3.52-3.54
Sc (0.6660, 0.3340, 0.5000)  6 Y 3.39-3.40, 6 Sc 3.52-3.54

[5]
# Na2ScTc

A relaxed structure of Na2ScTc (PBE-GGA, Alexandria).

Space group: I-42d
ΔH_f (0 K) in eV/atom: 0.6529
Calculated volume in Å³ per cell: 346.0
Fermi-level density of states in states/eV per atom: 0.807
Final energy in eV/atom: -4.181
Magnetization in μB per atom: 0.00
Energy above the lowest structure with this stoichiometry in meV per atom: 0.0

abc: 3.8370 3.8370 23.4981
angles: 90.00 90.00 90.00
With the nearest neighbours (Å) after each atom.
Atoms (fractional coordinates):
Na (0.2379, 0.2500, 0.1250)  4 Na 2.65-2.78
Na (0.2500, 0.7379, 0.3750)  4 Na 2.65-2.78
Na (0.2500, 0.7621, 0.8750)  4 Na 2.65-2.78
Na (0.2621, 0.2500, 0.6250)  4 Na 2.65-2.78
Na (0.7379, 0.7500, 0.6250)  4 Na 2.65-2.78
Na (0.7500, 0.2379, 0.8750)  4 Na 2.65-2.78
Na (0.7500, 0.2621, 0.3750)  4 Na 2.65-2.78
Na (0.7621, 0.7500, 0.1250)  4 Na 2.65-2.78
Sc (0.0000, 0.0000, 0.5000)  4 Tc 2.71
Sc (0.0000, 0.5000, 0.7500)  4 Tc 2.71
Sc (0.5000, 0.0000, 0.2500)  4 Tc 2.71
Sc (0.5000, 0.5000, 0.0000)  4 Tc 2.71
Tc (0.0000, 0.0000, 0.0000)  4 Sc 2.71
Tc (0.0000, 0.5000, 0.2500)  4 Sc 2.71
Tc (0.5000, 0.0000, 0.7500)  4 Sc 2.71
Tc (0.5000, 0.5000, 0.5000)  4 Sc 2.71

[6]
# Ca2FeW

A relaxed structure of Ca2FeW (PBE-GGA, Alexandria).

Space group: P2/m
ΔH_f (0 K) in eV/atom: 0.9694
Calculated volume in Å³ per cell: 81.8
Fermi-level density of states in states/eV per atom: 0.886
Final energy in eV/atom: -5.385
Magnetization in μB per atom: 0.52
Energy above the lowest structure with this stoichiometry in meV per atom: 547.1

abc: 2.8405 4.9515 5.8158
angles: 90.00 90.53 90.00
With the nearest neighbours (Å) after each atom.
Atoms (fractional coordinates):
Ca (0.0025, 0.0000, 0.2512)  4 Ca 2.84-2.92
Ca (0.9975, 0.0000, 0.7488)  4 Ca 2.84-2.92
Fe (0.5000, 0.5000, 0.5000)  2 Fe 2.84, 2 W 2.91
W (0.5000, 0.5000, 0.0000)  2 W 2.84, 2 Fe 2.91

[7]
# Pm10DyEr4

A relaxed structure of Pm10DyEr4 (PBE-GGA, Alexandria).

Space group: I4/m
ΔH_f (0 K) in eV/atom: 0.4325
Calculated volume in Å³ per cell: 534.4
Fermi-level density of states in states/eV per atom: 1.576
Final energy in eV/atom: -4.258
Magnetization in μB per atom: 0.00

abc: 8.8685 8.8685 8.8685
angles: 111.81 111.81 104.88
With the nearest neighbours (Å) after each atom.
Atoms (fractional coordinates):
Pm (0.0469, 0.3927, 0.1054)  2 Pm 3.11-3.18, 1 Dy 3.12
Pm (0.0586, 0.9531, 0.3458)  2 Pm 3.11-3.18, 1 Dy 3.12
Pm (0.2500, 0.7500, 0.5000)  4 Pm 3.11
Pm (0.2872, 0.9414, 0.8946)  2 Pm 3.11-3.18, 1 Dy 3.12
Pm (0.3927, 0.2872, 0.3458)  2 Pm 3.11-3.18, 1 Dy 3.12
Pm (0.6073, 0.7128, 0.6542)  2 Pm 3.11-3.18, 1 Dy 3.12
Pm (0.7128, 0.0586, 0.1054)  2 Pm 3.11-3.18, 1 Dy 3.12
Pm (0.7500, 0.2500, 0.5000)  4 Pm 3.11
Pm (0.9414, 0.0469, 0.6542)  2 Pm 3.11-3.18, 1 Dy 3.12
Pm (0.9531, 0.6073, 0.8946)  2 Pm 3.11-3.18, 1 Dy 3.12
Dy (0.0000, 0.0000, 0.0000)  8 Pm 3.12
Er (0.2213, 0.4445, 0.6658)  8 Pm 3.53-3.88
Er (0.4445, 0.7787, 0.2233)  8 Pm 3.53-3.88
Er (0.5555, 0.2213, 0.7767)  8 Pm 3.53-3.88
Er (0.7787, 0.5555, 0.3342)  8 Pm 3.53-3.88

[8]
# LiNiAg2Br6

A relaxed structure of LiNiAg2Br6 (PBE-GGA, Alexandria).

Space group: P1
Calculated volume in Å³ per cell: 256.4
Fermi-level density of states in states/eV per atom: 0.932
Final energy in eV/atom: -2.830
Magnetization in μB per atom: 0.20
Formation energy without anion corrections in eV per atom: -0.49

abc: 6.8564 6.8766 7.3823
angles: 62.44 62.91 60.37
With the nearest neighbours (Å) after each atom.
Atoms (fractional coordinates):
Li (0.0000, 0.0000, 0.0000)  3 Br 2.61-2.62
Ni (0.4631, 0.4753, 0.5901)  6 Br 2.53-2.60
Ag (0.2711, 0.2852, 0.1634)  6 Br 2.76-2.90
Ag (0.7891, 0.8015, 0.6142)  6 Br 2.77-2.82
Br (0.0803, 0.3903, 0.8450)  1 Ni 2.60, 1 Li 2.62, 2 Ag 2.82-2.84
Br (0.2207, 0.8489, 0.3627)  1 Ni 2.55, 2 Ag 2.77-2.79
Br (0.3839, 0.6881, 0.8423)  1 Ni 2.59, 1 Li 2.61, 2 Ag 2.80-2.87
Br (0.5538, 0.2367, 0.3649)  1 Ni 2.53, 2 Ag 2.76-2.79
Br (0.6802, 0.0903, 0.8431)  1 Ni 2.60, 1 Li 2.62, 2 Ag 2.80-2.90
Br (0.8348, 0.5711, 0.3638)  1 Ni 2.55, 2 Ag 2.78-2.80

[9]
# La2SmN2Cl2

A relaxed structure of La2SmN2Cl2 (PBE-GGA, Alexandria).

Space group: I4/mmm
Calculated volume in Å³ per cell: 325.1
Fermi-level density of states in states/eV per atom: 0.404
Final energy in eV/atom: -6.471
Magnetization in μB per atom: 0.13
Formation energy without anion corrections in eV per atom: -1.48

abc: 4.6288 4.6288 15.1739
angles: 90.00 90.00 90.00
With the nearest neighbours (Å) after each atom.
Atoms (fractional coordinates):
La (0.0000, 0.0000, 0.0998)  4 N 2.77, 1 La 3.03
La (0.0000, 0.0000, 0.9002)  4 N 2.77, 1 La 3.03
La (0.5000, 0.5000, 0.4002)  4 N 2.77, 1 La 3.03
La (0.5000, 0.5000, 0.5998)  4 N 2.77, 1 La 3.03
Sm (0.0000, 0.0000, 0.5000)  4 N 2.31
Sm (0.5000, 0.5000, 0.0000)  4 N 2.31
N (0.0000, 0.5000, 0.0000)  2 Sm 2.31
N (0.0000, 0.5000, 0.5000)  2 Sm 2.31
N (0.5000, 0.0000, 0.0000)  2 Sm 2.31
N (0.5000, 0.0000, 0.5000)  2 Sm 2.31
Cl (0.0000, 0.0000, 0.3116)  1 Sm 2.86
Cl (0.0000, 0.0000, 0.6884)  1 Sm 2.86
Cl (0.5000, 0.5000, 0.1884)  1 Sm 2.86
Cl (0.5000, 0.5000, 0.8116)  1 Sm 2.86

[10]
# Ba2InGa2As4

A relaxed structure of Ba2InGa2As4 (PBE-GGA, Alexandria).

Space group: C2/m
ΔH_f (0 K) in eV/atom: -0.5952
Calculated volume in Å³ per cell: 247.7
Fermi-level density of states in states/eV per atom: 0.261
Final energy in eV/atom: -4.066
Magnetization in μB per atom: 0.00

abc: 8.5343 8.5343 7.6275
angles: 110.42 110.42 28.55
With the nearest neighbours (Å) after each atom.
Atoms (fractional coordinates):
Ba (0.1276, 0.1276, 0.0412)  7 As 3.39-3.51
Ba (0.8724, 0.8724, 0.9588)  7 As 3.39-3.51
In (0.0000, 0.0000, 0.5000)  6 As 2.92-3.26
Ga (0.3295, 0.3295, 0.5191)  4 As 2.48-2.69
Ga (0.6705, 0.6705, 0.4809)  4 As 2.48-2.69
As (0.2113, 0.2113, 0.6859)  3 Ga 2.56-2.69
As (0.4804, 0.4804, 0.7466)  1 Ga 2.48
As (0.5196, 0.5196, 0.2534)  1 Ga 2.48
As (0.7887, 0.7887, 0.3141)  3 Ga 2.56-2.69

[11]
# ReRuI2

A relaxed structure of ReRuI2 (PBE-GGA, Alexandria).

Space group: Fm-3m
Calculated volume in Å³ per cell: 307.0
Fermi-level density of states in states/eV per atom: 1.282
Final energy in eV/atom: -4.778
Magnetization in μB per atom: 0.00
Energy above the lowest structure with this stoichiometry in meV per atom: 72.1
Formation energy without anion corrections in eV per atom: 1.43

abc: 6.7457 6.7457 6.7457
angles: 90.00 90.00 90.00
With the nearest neighbours (Å) after each atom.
Atoms (fractional coordinates):
Re (0.0000, 0.0000, 0.0000)  8 I 2.92
Re (0.0000, 0.5000, 0.5000)  8 I 2.92
Re (0.5000, 0.0000, 0.5000)  8 I 2.92
Re (0.5000, 0.5000, 0.0000)  8 I 2.92
Ru (0.0000, 0.0000, 0.5000)  8 I 2.92
Ru (0.0000, 0.5000, 0.0000)  8 I 2.92
Ru (0.5000, 0.0000, 0.0000)  8 I 2.92
Ru (0.5000, 0.5000, 0.5000)  8 I 2.92
I (0.2500, 0.2500, 0.2500)  4 Re 2.92, 4 Ru 2.92
I (0.2500, 0.2500, 0.7500)  4 Re 2.92, 4 Ru 2.92
I (0.2500, 0.7500, 0.2500)  4 Re 2.92, 4 Ru 2.92
I (0.2500, 0.7500, 0.7500)  4 Re 2.92, 4 Ru 2.92
I (0.7500, 0.2500, 0.2500)  4 Re 2.92, 4 Ru 2.92
I (0.7500, 0.2500, 0.7500)  4 Re 2.92, 4 Ru 2.92
I (0.7500, 0.7500, 0.2500)  4 Re 2.92, 4 Ru 2.92
I (0.7500, 0.7500, 0.7500)  4 Re 2.92, 4 Ru 2.92

[12]
# CaZr2Te

A relaxed structure of CaZr2Te (PBE-GGA, Alexandria).

Space group: F-43m
Calculated volume in Å³ per cell: 389.5
Fermi-level density of states in states/eV per atom: 1.040
Final energy in eV/atom: -5.518
Magnetization in μB per atom: 0.44
Formation energy without anion corrections in eV per atom: 0.04

abc: 7.3032 7.3032 7.3032
angles: 90.00 90.00 90.00
With the nearest neighbours (Å) after each atom.
Atoms (fractional coordinates):
Ca (0.0000, 0.0000, 0.0000)  4 Zr 3.16, 4 Te 3.16
Ca (0.0000, 0.5000, 0.5000)  4 Zr 3.16, 4 Te 3.16
Ca (0.5000, 0.0000, 0.5000)  4 Zr 3.16, 4 Te 3.16
Ca (0.5000, 0.5000, 0.0000)  4 Zr 3.16, 4 Te 3.16
Zr (0.0000, 0.0000, 0.5000)  4 Te 3.16, 4 Zr 3.16
Zr (0.0000, 0.5000, 0.0000)  4 Zr 3.16, 4 Te 3.16
Zr (0.2500, 0.2500, 0.2500)  4 Zr 3.16, 4 Ca 3.16
Zr (0.2500, 0.7500, 0.7500)  4 Zr 3.16, 4 Ca 3.16
Zr (0.5000, 0.0000, 0.0000)  4 Zr 3.16, 4 Te 3.16
Zr (0.5000, 0.5000, 0.5000)  4 Te 3.16, 4 Zr 3.16
Zr (0.7500, 0.2500, 0.7500)  4 Zr 3.16, 4 Ca 3.16
Zr (0.7500, 0.7500, 0.2500)  4 Zr 3.16, 4 Ca 3.16
Te (0.2500, 0.2500, 0.7500)  4 Zr 3.16, 4 Ca 3.16
Te (0.2500, 0.7500, 0.2500)  4 Ca 3.16, 4 Zr 3.16
Te (0.7500, 0.2500, 0.2500)  4 Ca 3.16, 4 Zr 3.16
Te (0.7500, 0.7500, 0.7500)  4 Ca 3.16, 4 Zr 3.16